Entry from Alexandria via LeMat-Bulk: an optimized crystal structure of TlCo2S2 (PBE-GGA).

Summary:
Spin magnetization = 1.9 μB per formula unit
Energy above the lowest structure with this stoichiometry = 0.000 eV per atom

Cell lengths 3.726, 3.726, 13.090 Å; angles 90.00, 90.00, 90.00 degrees
Space group I4/mmm (No. 139)
Inequivalent atoms, fractional coordinates:
Tl (0.000, 0.000, 0.000)
Co (0.000, 0.500, 0.250)
S (0.000, 0.000, 0.341)